Record 1
8
Lattice="-2.437 1.615 4.401 -3.445 -3.982 -0.446 0.191 -4.212 4.823" Properties=species:S:1:pos:R:3 comment="PBE Al2TeN, optimized geometry" space_group="I-42d, No. 122" de_polymorph_mev_per_atom=0 pbc="T T T"
Te 0.000 0.000 0.000
Te -2.593 -1.890 5.601
Al -1.580 -0.757 3.313
Al -2.735 -3.124 2.065
Al -2.522 -4.578 5.041
Al -4.543 -4.697 7.138
N -2.941 -1.183 1.978
N -3.097 -4.688 3.177



Record 2
5
Lattice="-1.215 1.175 -3.548 2.739 -2.258 -1.685 -2.542 -2.994 -0.121" Properties=species:S:1:pos:R:3 comment="PBE AlTeN3, optimized geometry" space_group="Pm-3m, No. 221" pbc="T T T"
Te 0.000 0.000 0.000
Al -0.509 -2.039 -2.677
N 1.370 -1.129 -0.843
N -1.271 -1.497 -0.061
N -0.607 0.587 -1.774



Record 3
4
Lattice="2.020 0.000 5.948 -1.010 1.749 5.948 -1.010 -1.749 5.948" Properties=species:S:1:pos:R:3 comment="PBE AlTeN2, optimized geometry" space_group="R-3m, No. 166" de_polymorph_mev_per_atom=616 pbc="T T T"
Te 0.000 0.000 8.922
Al 0.000 0.000 0.000
N 0.000 0.000 16.022
N 0.000 0.000 1.822



Record 4
8
Lattice="5.089 0.000 0.000 0.000 5.089 0.000 2.544 2.544 4.448" Properties=species:S:1:pos:R:3 comment="PBE AlTeN2, optimized geometry" space_group="I-42d, No. 122" de_polymorph_mev_per_atom=135 pbc="T T T"
Te 0.000 0.000 0.000
Te 5.089 2.544 2.224
Al 2.544 2.544 0.000
Al 2.544 5.089 2.224
N 3.391 1.272 1.112
N 1.697 3.817 1.112
N 3.817 4.242 3.336
N 6.361 5.936 3.336



Record 5
6
Lattice="-2.786 -0.487 2.522 -3.228 -6.335 -2.134 2.770 -5.096 2.062" Properties=species:S:1:pos:R:3 comment="PBE AlTeN, optimized geometry" space_group="P-1, No. 2" pbc="T T T"
Al 0.637 -3.982 2.774
Al -3.880 -7.936 -0.323
N -0.923 -2.954 3.117
N -2.320 -8.965 -0.667
Te -3.631 -5.464 0.548
Te 0.387 -6.454 1.902



Record 6
5
Lattice="4.598 0.000 0.000 0.000 4.598 0.000 0.000 0.000 4.062" Properties=species:S:1:pos:R:3 comment="PBE AlTe2N2, optimized geometry" space_group="P4/mmm, No. 123" de_polymorph_mev_per_atom=470 pbc="T T T"
Te 0.000 2.299 0.000
Te 2.299 0.000 0.000
Al 2.299 2.299 2.031
N 0.000 0.000 0.000
N 0.000 0.000 2.031



Record 7
5
Lattice="-1.261 2.716 4.706 -5.430 -0.462 -1.189 -0.127 -3.241 1.836" Properties=species:S:1:pos:R:3 comment="PBE TiAlTe2N, optimized geometry" space_group="P4/mmm, No. 123" de_polymorph_mev_per_atom=0 pbc="T T T"
N -0.063 -1.620 0.918
Te -2.715 -0.231 -0.595
Te -0.631 1.358 2.353
Al -3.409 -0.493 2.677
Ti 0.000 0.000 0.000



Record 8
5
Lattice="-0.089 5.363 -0.092 -2.193 -0.089 -3.081 -4.370 -0.020 3.111" Properties=species:S:1:pos:R:3 comment="PBE TiAl2TeN, optimized geometry" space_group="P4/mmm, No. 123" pbc="T T T"
N -1.096 -0.045 -1.540
Te -3.326 2.627 -0.031
Al -2.185 -0.010 1.556
Al -0.045 2.681 -0.046
Ti 0.000 0.000 0.000



Record 9
5
Lattice="5.495 0.000 0.000 0.000 5.495 0.000 0.000 0.000 3.487" Properties=species:S:1:pos:R:3 comment="PBE TiAlTe2N, optimized geometry" space_group="P4/mmm, No. 123" de_polymorph_mev_per_atom=257 pbc="T T T"
N 0.000 0.000 1.743
Te 0.000 2.747 0.000
Te 2.747 0.000 0.000
Al 0.000 0.000 0.000
Ti 2.747 2.747 1.743



Record 10
5
Lattice="6.013 0.000 0.000 0.000 6.013 0.000 0.000 0.000 3.473" Properties=species:S:1:pos:R:3 comment="PBE AlTlTe2N, optimized geometry" space_group="P4/mmm, No. 123" de_polymorph_mev_per_atom=0 pbc="T T T"
Tl 3.007 3.007 1.736
Te 0.000 3.007 0.000
Te 3.007 0.000 0.000
Al 0.000 0.000 0.000
N 0.000 0.000 1.736



Record 11
5
Lattice="-0.633 -3.446 -2.583 3.988 -1.455 0.963 -2.412 -3.302 4.997" Properties=species:S:1:pos:R:3 comment="PBE AlTlTeN2, optimized geometry" space_group="P4/mmm, No. 123" de_polymorph_mev_per_atom=872 pbc="T T T"
Tl 0.000 0.000 0.000
Te -1.206 -1.651 2.498
Al 0.471 -4.102 1.688
N 1.994 -0.728 0.482
N -0.317 -1.723 -1.292



Record 12
5
Lattice="-2.957 2.744 0.434 -2.676 -2.643 -1.520 -1.062 -1.986 5.321" Properties=species:S:1:pos:R:3 comment="PBE AlTlTeN2, optimized geometry" space_group="P4/mmm, No. 123" de_polymorph_mev_per_atom=0 pbc="T T T"
Tl -3.347 -0.943 2.117
Te -0.531 -0.993 2.661
Al 0.000 0.000 0.000
N -1.338 -1.322 -0.760
N -1.478 1.372 0.217



Record 13
5
Lattice="5.961 0.000 0.000 0.000 5.961 0.000 0.000 0.000 4.247" Properties=species:S:1:pos:R:3 comment="PBE AlTlTe2N, optimized geometry" space_group="P4/mmm, No. 123" de_polymorph_mev_per_atom=1072 pbc="T T T"
Tl 0.000 0.000 0.000
Te 0.000 2.980 0.000
Te 2.980 0.000 0.000
Al 2.980 2.980 2.124
N 0.000 0.000 2.124



Record 14
5
Lattice="3.747 0.000 0.000 0.000 3.747 0.000 0.000 0.000 5.707" Properties=species:S:1:pos:R:3 comment="PBE AlVTeN2, optimized geometry" space_group="P4/mmm, No. 123" de_polymorph_mev_per_atom=592 pbc="T T T"
N 0.000 1.873 0.000
N 1.873 0.000 0.000
Te 0.000 0.000 2.854
Al 0.000 0.000 0.000
V 1.873 1.873 2.854



Record 15
5
Lattice="-0.448 -0.323 3.794 0.074 -3.820 -0.316 5.509 0.053 0.655" Properties=species:S:1:pos:R:3 comment="PBE AlVTeN2, optimized geometry" space_group="P4/mmm, No. 123" de_polymorph_mev_per_atom=0 pbc="T T T"
N 0.037 -1.910 -0.158
N -0.224 -0.161 1.897
Te 2.755 0.026 0.328
Al 2.568 -2.045 2.066
V 0.000 0.000 0.000



Record 16
5
Lattice="5.478 0.000 0.000 0.000 5.478 0.000 0.000 0.000 3.440" Properties=species:S:1:pos:R:3 comment="PBE AlTe2WN, optimized geometry" space_group="P4/mmm, No. 123" de_polymorph_mev_per_atom=622 pbc="T T T"
Te 0.000 2.739 0.000
Te 2.739 0.000 0.000
Al 0.000 0.000 0.000
W 2.739 2.739 1.720
N 0.000 0.000 1.720



Record 17
5
Lattice="-0.202 -2.435 -4.911 -4.129 -3.165 1.739 -2.507 2.614 -1.193" Properties=species:S:1:pos:R:3 comment="PBE AlTe2WN, optimized geometry" space_group="P4/mmm, No. 123" de_polymorph_mev_per_atom=0 pbc="T T T"
Te -2.065 -1.583 0.870
Te -0.101 -1.218 -2.456
Al -3.419 -1.493 -2.183
W 0.000 0.000 0.000
N -1.253 1.307 -0.597



Record 18
5
Lattice="3.765 0.000 0.000 0.000 3.765 0.000 0.000 0.000 6.227" Properties=species:S:1:pos:R:3 comment="PBE AlZnTeN2, optimized geometry" space_group="P4/mmm, No. 123" de_polymorph_mev_per_atom=0 pbc="T T T"
Zn 1.882 1.882 3.113
Te 0.000 0.000 3.113
Al 0.000 0.000 0.000
N 0.000 1.882 0.000
N 1.882 0.000 0.000



Record 19
5
Lattice="3.983 0.000 0.000 0.000 3.983 0.000 0.000 0.000 6.038" Properties=species:S:1:pos:R:3 comment="PBE AlZnTeN2, optimized geometry" space_group="P4/mmm, No. 123" de_polymorph_mev_per_atom=665 pbc="T T T"
Zn 0.000 0.000 0.000
Te 0.000 0.000 3.019
Al 1.991 1.991 3.019
N 0.000 1.991 0.000
N 1.991 0.000 0.000



Record 20
5
Lattice="4.150 0.000 0.000 0.000 4.150 0.000 0.000 0.000 6.095" Properties=species:S:1:pos:R:3 comment="PBE ZrAlTeN2, optimized geometry" space_group="P4/mmm, No. 123" de_polymorph_mev_per_atom=0 pbc="T T T"
Te 0.000 0.000 3.048
Al 2.075 2.075 3.048
Zr 0.000 0.000 0.000
N 0.000 2.075 0.000
N 2.075 0.000 0.000



Record 21
5
Lattice="-0.754 0.421 5.742 5.686 -0.853 0.810 0.625 3.968 -0.209" Properties=species:S:1:pos:R:3 comment="PBE ZrAlTe2N, optimized geometry" space_group="P4/mmm, No. 123" de_polymorph_mev_per_atom=27 pbc="T T T"
Te 2.843 -0.427 0.405
Te -0.377 0.210 2.871
Al 2.778 1.768 3.171
Zr 0.000 0.000 0.000
N 0.312 1.984 -0.104



Record 22
5
Lattice="3.938 0.000 0.000 0.000 3.938 0.000 0.000 0.000 5.299" Properties=species:S:1:pos:R:3 comment="PBE ZrAlTeN2, optimized geometry" space_group="P4/mmm, No. 123" de_polymorph_mev_per_atom=150 pbc="T T T"
Te 0.000 0.000 2.650
Al 0.000 0.000 0.000
Zr 1.969 1.969 2.650
N 0.000 1.969 0.000
N 1.969 0.000 0.000



Record 23
5
Lattice="-4.416 3.094 -1.079 -1.929 -3.919 -3.341 -1.704 -1.482 2.722" Properties=species:S:1:pos:R:3 comment="PBE ZrAlTe2N, optimized geometry" space_group="P4/mmm, No. 123" de_polymorph_mev_per_atom=0 pbc="T T T"
Te -0.965 -1.959 -1.671
Te -2.208 1.547 -0.540
Al 0.000 0.000 0.000
Zr -4.025 -1.153 -0.849
N -0.852 -0.741 1.361



Record 24
4
Lattice="3.320 0.000 0.000 1.660 2.875 0.000 1.660 0.958 6.199" Properties=species:S:1:pos:R:3 comment="PBE ThAlN2, optimized geometry" space_group="R-3m, No. 166" pbc="T T T"
Al 3.320 1.917 3.099
Th 0.000 0.000 0.000
N 1.660 0.958 4.051
N 4.980 2.875 2.148



Record 25
4
Lattice="3.703 0.000 0.000 1.851 3.207 0.000 1.851 1.069 7.748" Properties=species:S:1:pos:R:3 comment="PBE Th2AlN, optimized geometry" space_group="R-3m, No. 166" pbc="T T T"
Al 3.703 2.138 3.874
Th 5.554 3.207 6.307
Th 1.851 1.069 1.442
N 0.000 0.000 0.000



Record 26
20
Lattice="5.601 0.000 -0.014 0.000 5.563 0.000 0.030 0.000 7.854" Properties=species:S:1:pos:R:3 comment="PBE Th2AlWN6, optimized geometry" space_group="P2_1/c, No. 14" pbc="T T T"
Th 0.033 5.368 1.953
Th 2.848 2.976 5.873
Th 5.597 0.195 5.886
Th 2.782 2.587 1.966
Al 2.815 0.000 3.920
Al 0.000 2.781 0.000
W 2.800 0.000 -0.007
W 0.015 2.781 3.927
N 1.610 3.942 0.330
N 4.425 4.403 4.250
N 4.021 1.621 7.510
N 1.205 1.160 3.590
N 1.620 3.961 3.599
N 4.435 4.383 7.519
N 4.011 1.602 4.240
N 1.196 1.180 0.321
N 5.164 2.867 1.944
N 2.378 5.477 5.878
N 0.467 2.696 5.896
N 3.252 0.086 1.962



Record 27
8
Lattice="-1.623 -4.820 -3.445 2.383 -3.802 4.196 -2.431 -4.429 1.865" Properties=species:S:1:pos:R:3 comment="PBE Ti2AlN, optimized geometry" space_group="I-42d, No. 122" de_polymorph_mev_per_atom=629 pbc="T T T"
N 0.380 -4.311 0.375
N 0.166 -6.271 3.218
Al 0.000 0.000 0.000
Al -1.837 -6.780 -0.603
Ti -1.169 -4.135 -0.834
Ti 0.524 -4.546 2.329
Ti -1.311 -6.918 2.081
Ti -1.386 -10.503 1.654



Record 28
7
Lattice="2.836 0.000 0.000 0.000 4.258 -1.611 0.000 1.253 9.748" Properties=species:S:1:pos:R:3 comment="PBE Ti4Al2N, optimized geometry" space_group="Cmmm, No. 65" de_polymorph_mev_per_atom=247 pbc="T T T"
Ti 1.418 2.623 0.500
Ti 0.000 3.508 2.839
Ti 1.418 2.889 7.637
Ti 0.000 2.004 5.298
Al 1.418 1.101 2.910
Al 1.418 4.411 5.227
N 0.000 2.129 -0.805



| no. | E_form (uncorrected) (eV/atom) | calculated total energy (Ry per atom) |
| --- | --- | --- |
| 1 | -0.403 | -0.3778 |
| 2 | 1.526 | -0.3562 |
| 3 | 0.658 | -0.3841 |
| 4 | 0.177 | -0.4194 |
| 5 | -0.252 | -0.3911 |
| 6 | 1.435 | -0.2866 |
| 7 | 0.017 | -0.3846 |
| 8 | 0.362 | -0.3680 |
| 9 | 0.273 | -0.3657 |
| 10 | 0.094 | -0.2976 |
| 11 | 1.714 | -0.2547 |
| 12 | 0.843 | -0.3188 |
| 13 | 1.167 | -0.2188 |
| 14 | 0.959 | -0.4095 |
| 15 | 0.367 | -0.4530 |
| 16 | 0.927 | -0.3921 |
| 17 | 0.304 | -0.4378 |
| 18 | 0.703 | -0.3130 |
| 19 | 1.368 | -0.2642 |
| 20 | 0.346 | -0.4462 |
| 21 | 0.091 | -0.3887 |
| 22 | 0.496 | -0.4351 |
| 23 | 0.064 | -0.3907 |
| 24 | -0.327 | -0.5351 |
| 25 | -0.743 | -0.5490 |
| 26 | -1.098 | -0.6796 |
| 27 | -0.546 | -0.5520 |
| 28 | -0.391 | -0.5263 |